Entry from Alexandria: a relaxed structure of TlAgF3 (PBE).

```
TlAgF3
1.0
4.4299 0.0000 0.0000
0.0000 4.4299 0.0000
0.0000 0.0000 4.4299
Tl Ag F
1 1 3
direct
0.0000 0.0000 0.0000
0.5000 0.5000 0.5000
0.0000 0.5000 0.5000
0.5000 0.0000 0.5000
0.5000 0.5000 0.0000
```

## Properties
* E_form (uncorrected): -1.4535 eV/atom
* SG: Pm-3m (221)
* energy above the most stable polymorph in this dataset: 50.3 meV per atom